# GaSnI3 PBE-GGA optimized geometry
data_GaSnI3
_symmetry_space_group_name_H-M 'P 1 21/m 1'
_symmetry_Int_Tables_number 11
_cell_length_a 8.224
_cell_length_b 4.571
_cell_length_c 11.828
_cell_angle_alpha 90.00
_cell_angle_beta 103.60
_cell_angle_gamma 90.00
loop_
_symmetry_equiv_pos_as_xyz
'x,y,z'
'-x,-y,-z'
'-x,y+1/2,-z'
'x,-y+1/2,z'
loop_
_atom_site_label
_atom_site_type_symbol
_atom_site_fract_x
_atom_site_fract_y
_atom_site_fract_z
Ga1 Ga 0.224 0.250 0.480
Sn1 Sn 0.364 0.250 0.838
I1 I 0.003 0.750 0.333
I2 I 0.262 0.750 0.000
I3 I 0.464 0.750 0.674
# * energy: -2.767 eV/atom
# * energy above the lowest structure with this stoichiometry: 0 meV/atom